# AlReSe3 GGA-PBEsol optimized geometry
# crystal system = cubic
# total energy = -26.608 eV per cell
# total magnetic moment = 0.0 μB per formula unit
# energy relative to the elements, uncorrected = 0.47 eV per atom
data_AlReSe3
_symmetry_space_group_name_H-M 'P m -3 m'
_symmetry_Int_Tables_number 221
_symmetry_space_group_name_Hall '-P 4 2 3'
_cell_length_a 4.8620
_cell_length_b 4.8620
_cell_length_c 4.8620
_cell_angle_alpha 90.00
_cell_angle_beta 90.00
_cell_angle_gamma 90.00
loop_
_atom_site_label
_atom_site_type_symbol
_atom_site_fract_x
_atom_site_fract_y
_atom_site_fract_z
Al1 Al 0.0000 0.0000 0.0000
Re1 Re 0.5000 0.5000 0.5000
Se1 Se 0.0000 0.5000 0.5000

# TcSnGe2Ir GGA-PBEsol optimized geometry
# crystal system = tetragonal
# total energy = -25.622 eV per cell
# ΔE_f = 1921 meV per atom
# total magnetic moment = 4.0 μB per formula unit
data_TcSnGe2Ir
_symmetry_space_group_name_H-M 'P 4/m m m'
_symmetry_Int_Tables_number 123
_symmetry_space_group_name_Hall '-P 4 2'
_cell_length_a 5.0106
_cell_length_b 5.0106
_cell_length_c 4.8460
_cell_angle_alpha 90.00
_cell_angle_beta 90.00
_cell_angle_gamma 90.00
loop_
_atom_site_label
_atom_site_type_symbol
_atom_site_fract_x
_atom_site_fract_y
_atom_site_fract_z
Tc1 Tc 0.0000 0.0000 0.0000
Sn1 Sn 0.5000 0.5000 0.5000
Ge1 Ge 0.0000 0.5000 0.5000
Ir1 Ir 0.5000 0.5000 0.0000

# KYRe2 GGA-PBEsol optimized geometry
# crystal system = orthorhombic
# total energy = -59.583 eV per cell
# ΔE_f = 1207 meV per atom
# total magnetic moment = 0.0 μB per formula unit
data_KYRe2
_symmetry_space_group_name_H-M 'I m m m'
_symmetry_Int_Tables_number 71
_symmetry_space_group_name_Hall '-I 2 2'
_cell_length_a 3.4183
_cell_length_b 4.2057
_cell_length_c 10.3599
_cell_angle_alpha 90.00
_cell_angle_beta 90.00
_cell_angle_gamma 90.00
loop_
_atom_site_label
_atom_site_type_symbol
_atom_site_fract_x
_atom_site_fract_y
_atom_site_fract_z
K1 K 0.0000 0.0000 0.0000
Y1 Y 0.0000 0.0000 0.5000
Re1 Re 0.0000 0.5000 0.2477

# CdPHO3 GGA-PBEsol optimized geometry
# crystal system = trigonal
# total energy = -630.315 eV per cell
# total magnetic moment = 0.0 μB per formula unit
data_CdPHO3
_symmetry_space_group_name_H-M 'R -3'
_symmetry_Int_Tables_number 148
_symmetry_space_group_name_Hall '-R 3'
_cell_length_a 13.5640
_cell_length_b 13.5640
_cell_length_c 8.3899
_cell_angle_alpha 90.00
_cell_angle_beta 90.00
_cell_angle_gamma 120.00
loop_
_atom_site_label
_atom_site_type_symbol
_atom_site_fract_x
_atom_site_fract_y
_atom_site_fract_z
Cd1 Cd 0.0486 0.2709 0.0925
P1 P 0.0216 0.1872 0.7124
H1 H 0.0228 0.9108 0.3860
O1 O 0.0121 0.7315 0.3654
O2 O 0.0328 0.8537 0.1218
O3 O 0.0879 0.8482 0.7204

# ScSe2F GGA-PBEsol optimized geometry
# crystal system = cubic
# total energy = -82.834 eV per cell
# total magnetic moment = 0.0 μB per formula unit
# energy relative to the elements, uncorrected = -1.12 eV per atom
data_ScSe2F
_symmetry_space_group_name_H-M 'F m -3 m'
_symmetry_Int_Tables_number 225
_symmetry_space_group_name_Hall '-F 4 2 3'
_cell_length_a 6.4450
_cell_length_b 6.4450
_cell_length_c 6.4450
_cell_angle_alpha 90.00
_cell_angle_beta 90.00
_cell_angle_gamma 90.00
loop_
_atom_site_label
_atom_site_type_symbol
_atom_site_fract_x
_atom_site_fract_y
_atom_site_fract_z
Sc1 Sc 0.0000 0.0000 0.0000
Se1 Se 0.2500 0.2500 0.2500
F1 F 0.0000 0.0000 0.5000

# SrEu4O5 GGA-PBEsol optimized geometry
# crystal system = tetragonal
# total energy = -197.773 eV per cell
# total magnetic moment = 27.8 μB per formula unit
# energy relative to the elements, uncorrected = -2.85 eV per atom
data_SrEu4O5
_symmetry_space_group_name_H-M 'I 4/m'
_symmetry_Int_Tables_number 87
_symmetry_space_group_name_Hall '-I 4'
_cell_length_a 7.9236
_cell_length_b 7.9236
_cell_length_c 5.0110
_cell_angle_alpha 90.00
_cell_angle_beta 90.00
_cell_angle_gamma 90.00
loop_
_atom_site_label
_atom_site_type_symbol
_atom_site_fract_x
_atom_site_fract_y
_atom_site_fract_z
Sr1 Sr 0.0000 0.0000 0.0000
Eu1 Eu 0.1002 0.3004 0.5000
O1 O 0.0000 0.0000 0.5000
O2 O 0.1021 0.3054 0.0000

# CsTl2AgRh GGA-PBEsol optimized geometry
# crystal system = tetragonal
# total energy = -17.294 eV per cell
# ΔE_f = 72 meV per atom
# total magnetic moment = 0.0 μB per formula unit
data_CsTl2AgRh
_symmetry_space_group_name_H-M 'P 4/m m m'
_symmetry_Int_Tables_number 123
_symmetry_space_group_name_Hall '-P 4 2'
_cell_length_a 5.2021
_cell_length_b 5.2021
_cell_length_c 5.4037
_cell_angle_alpha 90.00
_cell_angle_beta 90.00
_cell_angle_gamma 90.00
loop_
_atom_site_label
_atom_site_type_symbol
_atom_site_fract_x
_atom_site_fract_y
_atom_site_fract_z
Cs1 Cs 0.0000 0.0000 0.0000
Tl1 Tl 0.0000 0.5000 0.5000
Ag1 Ag 0.5000 0.5000 0.0000
Rh1 Rh 0.5000 0.5000 0.5000

# LiTi3O4 GGA-PBEsol optimized geometry
# crystal system = orthorhombic
# total energy = -137.528 eV per cell
# total magnetic moment = 0.0 μB per formula unit
# energy relative to the elements, uncorrected = -2.60 eV per atom
data_LiTi3O4
_symmetry_space_group_name_H-M 'C m m m'
_symmetry_Int_Tables_number 65
_symmetry_space_group_name_Hall '-C 2 2'
_cell_length_a 6.0064
_cell_length_b 8.2046
_cell_length_c 2.9043
_cell_angle_alpha 90.00
_cell_angle_beta 90.00
_cell_angle_gamma 90.00
loop_
_atom_site_label
_atom_site_type_symbol
_atom_site_fract_x
_atom_site_fract_y
_atom_site_fract_z
Li1 Li 0.0000 0.0000 0.0000
Ti1 Ti 0.0000 0.5000 0.0000
Ti2 Ti 0.2500 0.2500 0.5000
O1 O 0.0000 0.2388 0.0000
O2 O 0.2429 0.0000 0.5000

Question: Number 8 is which compound?
Answer: LiTi3O4